Below is a relaxed structure of Mg2ScW, with properties calculated at the GGA-PBE level.

Geometry as extended XYZ:
```
4
Lattice="-1.5500 -2.3937 0.1357 1.5247 -1.1088 -2.1439 6.1977 -3.6561 6.2986" Properties=species:S:1:pos:R:3 pbc="T T T"
Mg 6.0672 -3.5791 6.1659
Mg 3.2294 -1.9051 3.2820
Sc 1.5368 -2.6653 0.5705
W 4.6357 -4.4933 3.7199
```

Symmetry: No. 123
E, eV per atom: -5.313
Density, g/cm3: 5.9
Relative energy among the computed polymorphs, eV per atom: 0.116
Formation energy, eV per formula unit: 1.22


Below is a relaxed structure of Cs6PtOF, with properties calculated at the GGA-PBE level.

Geometry as extended XYZ:
```
9
Lattice="-2.7639 -4.0556 5.8199 6.5920 1.2048 3.9701 -5.9252 5.0100 0.6773" Properties=species:S:1:pos:R:3 pbc="T T T"
Cs -1.4118 1.3223 7.4268
Cs 0.0088 -2.4395 5.4800
Cs 2.6871 -0.2301 8.2916
Cs -0.4445 0.7637 3.1039
Cs 3.7181 -0.1953 4.4124
Cs 1.6681 3.4515 5.9801
Pt -1.7528 3.7416 1.7749
O -1.3819 -2.0278 2.9100
F 1.0376 0.4454 5.7825
```

Symmetry: No. 149
E, eV per atom: -2.866
Density, g/cm3: 4.3
Uncorrected formation energy, eV/atom: -0.87


Below is a relaxed structure of ZnNi2, with properties calculated at the GGA-PBE level.

Geometry as extended XYZ:
```
6
Lattice="-1.2910 1.8083 1.2730 -6.2933 -2.0088 -0.9536 0.2080 -2.3081 3.4896" Properties=species:S:1:pos:R:3 pbc="T T T"
Ni -6.2759 -1.9999 -0.9487
Ni -3.6966 -1.8772 1.4930
Ni -6.1668 -1.9142 1.6158
Ni -5.0967 -0.1546 0.2015
Zn -2.5948 -0.1013 0.0877
Zn -2.3754 0.0413 2.6832
```

Symmetry: No. 63
E, eV per atom: -4.348
Density, g/cm3: 8.6
Formation energy, eV per formula unit: -0.21


Below is a relaxed structure of Bi6Pt2Rh, with properties calculated at the GGA-PBE level.

Geometry as extended XYZ:
```
18
Lattice="7.2771 0.0000 0.3623 0.0000 6.7069 0.0000 -0.3531 0.0000 9.4441" Properties=species:S:1:pos:R:3 pbc="T T T"
Bi 6.1703 0.2383 2.5090
Bi 5.7417 4.4129 5.8094
Bi 5.7757 4.4609 9.1511
Bi 4.6103 1.1074 5.5585
Bi 4.6444 1.0594 8.9002
Bi 4.5688 3.5917 2.7565
Bi 0.7537 6.4687 7.2973
Bi 1.1824 2.2941 3.9970
Bi 1.1483 2.2460 0.6553
Bi 2.3137 5.5995 4.2479
Bi 2.2796 5.6475 0.9062
Bi 2.3552 3.1152 7.0499
Pt 6.8838 2.3244 7.5003
Pt 3.5022 5.6779 7.2093
Pt 3.4218 1.0290 2.5971
Pt 0.0402 4.3825 2.3061
Rh 3.6385 3.3535 0.1812
Rh -0.1765 0.0000 4.7220
```

Symmetry: No. 14
E, eV per atom: -4.888
Density, g/cm3: 12.6
Relative energy among the computed polymorphs, eV per atom: 0.000
Formation energy, eV per formula unit: -1.28


Below is a relaxed structure of K2Ba3UO6, with properties calculated at the GGA-PBE level.

Geometry as extended XYZ:
```
12
Lattice="-1.5404 5.8823 2.8663 -3.5997 -2.2716 -5.2030 -2.1346 -4.0456 4.6328" Properties=species:S:1:pos:R:3 pbc="T T T"
K -2.9134 0.4459 -2.5137
K -2.2267 3.1647 0.1770
Ba -4.3213 -2.9257 -1.5321
Ba -2.9534 2.4908 3.8282
Ba -3.6373 -0.2175 1.1480
U 0.0000 0.0000 0.0000
O -5.5107 0.7587 2.8346
O -4.6603 2.0050 -0.8367
O -1.7640 -1.1936 -0.5385
O -6.0477 -1.3675 0.7304
O -2.6144 -2.4400 3.1328
O -1.2270 0.9326 1.5656
```

Symmetry: No. 12
E, eV per atom: -6.486
Density, g/cm3: 5.7
Uncorrected formation energy, eV/atom: -2.40


Below is a relaxed structure of Y2MgHg6, with properties calculated at the GGA-PBE level.

Geometry as extended XYZ:
```
9
Lattice="6.1046 -0.0370 -0.0214 0.0378 6.4201 0.0118 0.0378 3.2088 5.5607" Properties=species:S:1:pos:R:3 pbc="T T T"
Y 5.2482 6.3848 3.6950
Y 0.9320 3.2071 1.8561
Mg 0.0000 0.0000 0.0000
Hg 1.9640 4.9107 4.5708
Hg 1.9722 7.9011 4.5726
Hg 1.9640 6.4097 1.9806
Hg 4.2163 4.6812 0.9803
Hg 4.2081 1.6908 0.9785
Hg 4.2163 3.1822 3.5705
```

Symmetry: No. 12
E, eV per atom: -2.083
Density, g/cm3: 10.7
Relative energy among the computed polymorphs, eV per atom: 0.061
Formation energy, eV per formula unit: -2.42


Below is a relaxed structure of PmGdDyTl, with properties calculated at the GGA-PBE level.

Geometry as extended XYZ:
```
4
Lattice="-4.2086 0.8684 -3.4591 -1.7392 -4.0620 -3.3026 -4.8742 -2.4118 0.9260" Properties=species:S:1:pos:R:3 pbc="T T T"
Tl -5.4110 -2.8027 -2.9179
Gd -8.1165 -4.2040 -4.3768
Pm 0.0000 0.0000 0.0000
Dy -2.7055 -1.4013 -1.4589
```

Symmetry: No. 216
E, eV per atom: -6.486
Density, g/cm3: 9.4
Formation energy, eV per formula unit: -0.15


Below is a relaxed structure of Ir2PtCl, with properties calculated at the GGA-PBE level.

Geometry as extended XYZ:
```
4
Lattice="-1.0904 1.5748 -3.0572 -1.8994 -3.5260 -1.1388 -3.4851 1.2654 1.8947" Properties=species:S:1:pos:R:3 pbc="T T T"
Ir 0.0000 0.0000 0.0000
Ir -2.6922 -1.1303 0.3780
Pt -1.4949 -0.9756 -2.0980
Cl -2.2877 1.4201 -0.5813
```

Symmetry: No. 123
E, eV per atom: -5.287
Density, g/cm3: 16.3
Uncorrected formation energy, eV/atom: 1.12
Relative energy among the computed polymorphs, eV per atom: 0.772


Below is a relaxed structure of Rb6Au, with properties calculated at the GGA-PBE level.

Geometry as extended XYZ:
```
28
Lattice="-2.7001 6.8758 4.4863 -13.1664 -0.5919 -7.0172 -5.7772 -9.8855 11.6738" Properties=species:S:1:pos:R:3 pbc="T T T"
Rb -8.2270 0.0608 7.4885
Rb -13.4167 -3.6625 1.6544
Rb -16.3203 -8.5671 7.5161
Rb -5.3234 4.9654 1.6267
Rb -8.7206 -4.7391 8.8194
Rb -12.9232 1.1374 0.3235
Rb -16.6688 -1.6229 7.5844
Rb -4.9749 -1.9788 1.5585
Rb -9.0244 -3.5175 4.0734
Rb -12.6193 -0.0842 5.0694
Rb -15.4922 -5.0670 10.8802
Rb -16.9400 -0.2784 2.7667
Rb -6.1515 1.4653 -1.7374
Rb -4.7037 -3.3232 6.3762
Rb -1.8308 1.6595 0.5654
Rb -19.8129 -5.2612 8.5774
Rb -12.2573 -1.3344 9.9542
Rb -9.3864 -2.2672 -0.8113
Rb -13.1830 -4.8980 6.5341
Rb -13.7079 -2.4615 -3.1145
Rb -8.4608 1.2963 2.6088
Rb -7.9358 -1.1402 12.2574
Rb -4.1393 1.4906 4.9120
Rb -17.5045 -5.0923 4.2309
Au -7.1214 -5.7771 5.9065
Au -14.5223 2.1754 3.2363
Au -16.4950 -5.0997 7.5514
Au -5.1487 1.4980 1.5914
```

Symmetry: No. 62
E, eV per atom: -1.383
Density, g/cm3: 2.2
Relative energy among the computed polymorphs, eV per atom: 0.000
Formation energy, eV per formula unit: -0.60


Below is a relaxed structure of Na2SrGe, with properties calculated at the GGA-PBE level.

Geometry as extended XYZ:
```
8
Lattice="-0.1243 4.5480 0.9722 -2.6335 0.7328 -3.7647 -11.1009 0.9895 5.0831" Properties=species:S:1:pos:R:3 pbc="T T T"
Sr 0.0000 0.0000 0.0000
Sr -6.3021 4.0890 2.3295
Ge -1.3789 2.6404 -1.3962
Ge -7.5566 2.1814 -0.0389
Na -3.1757 2.9461 1.3575
Na -4.4431 1.5093 -0.9103
Na -9.4961 2.7604 2.5703
Na -10.6024 5.3249 1.5637
```

Symmetry: No. 122
E, eV per atom: -2.249
Density, g/cm3: 2.7
Formation energy, eV per formula unit: -0.06


Below is a relaxed structure of Sc2PaMn, with properties calculated at the GGA-PBE level.

Geometry as extended XYZ:
```
16
Lattice="5.8481 0.0000 0.0000 0.0000 6.6344 0.0000 0.0000 0.0000 8.9187" Properties=species:S:1:pos:R:3 pbc="T T T"
Sc 0.9779 4.4534 0.5819
Sc 1.9462 1.1362 3.8775
Sc 4.8702 2.1810 5.0412
Sc 3.9019 5.4982 8.3368
Sc 4.8702 2.1810 8.3368
Sc 3.9019 5.4982 5.0412
Sc 0.9779 4.4534 3.8775
Sc 1.9462 1.1362 0.5819
Pa 3.7824 3.6691 2.2297
Pa 4.9898 0.3519 2.2297
Pa 2.0657 2.9653 6.6890
Pa 0.8583 6.2825 6.6890
Mn 0.0593 2.3797 2.2297
Mn 2.8647 5.6969 2.2297
Mn 5.7887 4.2547 6.6890
Mn 2.9834 0.9375 6.6890
```

Symmetry: No. 62
E, eV per atom: -7.943
Density, g/cm3: 7.2
Relative energy among the computed polymorphs, eV per atom: 0.000
Formation energy, eV per formula unit: -0.44


Below is a relaxed structure of PuMnCrSi, with properties calculated at the GGA-PBE level.

Geometry as extended XYZ:
```
4
Lattice="-2.1858 -0.6103 3.6791 0.2756 -3.7817 2.0759 2.1215 -0.2533 3.7578" Properties=species:S:1:pos:R:3 pbc="T T T"
Cr 0.1056 -2.3226 4.7564
Si 0.1584 -3.4839 7.1346
Mn 0.0000 0.0000 0.0000
Pu 0.0528 -1.1613 2.3782
```

Symmetry: No. 216
E, eV per atom: -9.738
Density, g/cm3: 11.0
Uncorrected formation energy, eV/atom: -0.10


Below is a relaxed structure of BaLiAcSe3, with properties calculated at the GGA-PBE level.

Geometry as extended XYZ:
```
12
Lattice="4.4539 0.0000 0.0000 0.0000 9.3379 0.3678 0.0000 -2.0884 9.1878" Properties=species:S:1:pos:R:3 pbc="T T T"
Ba 1.1135 1.1082 2.1635
Ba 3.3404 6.1413 7.3921
Li 1.1135 -0.4563 5.4175
Li 3.3404 7.7058 4.1381
Ac 1.1135 5.8152 1.8613
Ac 3.3404 1.4343 7.6943
Se 3.3404 7.9819 1.5829
Se 1.1135 -0.7324 7.9727
Se 1.1135 6.5193 4.8526
Se 3.3404 0.7302 4.7030
Se 3.3404 3.6257 1.6689
Se 1.1135 3.6238 7.8866
```

Symmetry: No. 11
E, eV per atom: -4.909
Density, g/cm3: 5.2
Uncorrected formation energy, eV/atom: -1.84


Below is a relaxed structure of Ba2SmEu, with properties calculated at the GGA-PBE level.

Geometry as extended XYZ:
```
4
Lattice="6.4866 0.0000 0.0000 3.2433 5.6176 0.0000 3.2433 1.8725 5.2951" Properties=species:S:1:pos:R:3 pbc="T T T"
Eu 6.4866 3.7451 2.6475
Ba 3.2433 1.8725 1.3224
Ba 9.7300 5.6176 3.9727
Sm 0.0000 0.0000 0.0000
```

Symmetry: No. 225
E, eV per atom: -4.505
Density, g/cm3: 5.0
Relative energy among the computed polymorphs, eV per atom: 0.039
Formation energy, eV per formula unit: 0.82


Below is a relaxed structure of Ba8Hg2Pt, with properties calculated at the GGA-PBE level.

Geometry as extended XYZ:
```
11
Lattice="5.9041 0.0000 0.0000 0.0000 8.0110 0.3160 -2.9521 -3.0608 10.2205" Properties=species:S:1:pos:R:3 pbc="T T T"
Ba 0.0000 2.2140 8.6215
Ba 2.9520 6.7960 3.4377
Ba 2.9521 3.7160 6.0471
Ba 2.9521 -1.3129 9.6061
Ba 0.0000 1.2341 4.4894
Ba 0.0000 -1.8458 7.0988
Ba 2.9521 2.7362 1.9150
Ba 0.0000 6.2631 0.9304
Hg 2.9521 0.2461 6.4400
Hg 0.0000 4.7041 4.0965
Pt 2.9521 0.0000 0.0000
```

Symmetry: No. 12
E, eV per atom: -2.309
Density, g/cm3: 5.8
Relative energy among the computed polymorphs, eV per atom: 0.036
Formation energy, eV per formula unit: -3.37


Below is a relaxed structure of Rb2CdIn4Ge3, with properties calculated at the GGA-PBE level.

Geometry as extended XYZ:
```
10
Lattice="-1.2498 -4.8410 -0.1294 3.9531 -0.9426 -2.9152 6.4785 -1.9240 9.4071" Properties=species:S:1:pos:R:3 pbc="T T T"
Rb 0.9799 -2.8971 2.2655
Rb 6.8504 -1.9187 5.6193
Cd 4.5910 -3.8538 3.1812
In 1.3517 -2.8918 -1.5223
In 0.0000 0.0000 0.0000
In 3.4764 -3.6385 5.8905
In 4.3539 -1.1773 1.9943
Ge 3.2393 -0.9620 4.7036
Ge 5.0369 -4.1019 8.1564
Ge 2.7934 -0.7139 -0.2716
```

Symmetry: No. 115
E, eV per atom: -2.834
Density, g/cm3: 5.5
Formation energy, eV per formula unit: -0.68


Below is a relaxed structure of TeSeBr, with properties calculated at the GGA-PBE level.

Geometry as extended XYZ:
```
6
Lattice="5.4643 -0.0771 -0.1483 1.1808 6.9141 0.0652 1.1347 2.2230 6.5662" Properties=species:S:1:pos:R:3 pbc="T T T"
Te 6.6982 5.2152 3.6206
Te 1.5546 3.2273 0.2331
Br 5.2421 1.1600 1.0651
Br 4.2058 7.3551 5.4352
Se 2.4289 7.4863 3.3706
Se 2.7109 3.5737 2.5140
```

Symmetry: No. 1
E, eV per atom: -2.831
Density, g/cm3: 3.8
Uncorrected formation energy, eV/atom: -0.06
Relative energy among the computed polymorphs, eV per atom: 0.086


Below is a relaxed structure of Fe2PtRh, with properties calculated at the GGA-PBE level.

Geometry as extended XYZ:
```
8
Lattice="5.2252 0.0000 0.0000 0.0000 5.2252 0.0000 2.6126 2.6126 5.3320" Properties=species:S:1:pos:R:3 pbc="T T T"
Rh 2.6126 2.6126 0.0000
Rh 2.6126 5.2252 2.6660
Fe 3.8773 1.3063 1.3330
Fe 1.3479 3.9189 1.3330
Fe 3.9189 3.9605 3.9990
Fe 6.5315 6.4899 3.9990
Pt 0.0000 0.0000 0.0000
Pt 5.2252 2.6126 2.6660
```

Symmetry: No. 122
E, eV per atom: -6.519
Density, g/cm3: 9.3
Formation energy, eV per formula unit: 4.24


Below is a relaxed structure of BeWCl2, with properties calculated at the GGA-PBE level.

Geometry as extended XYZ:
```
8
Lattice="5.2494 0.0000 0.0000 0.0000 5.2494 0.0000 2.6247 2.6247 4.7319" Properties=species:S:1:pos:R:3 pbc="T T T"
Be 2.6247 2.6247 0.0000
Be 2.6247 5.2494 2.3659
W 0.0000 0.0000 0.0000
W 5.2494 2.6247 2.3659
Cl 3.6058 1.3123 1.1830
Cl 1.6436 3.9370 1.1830
Cl 3.9370 4.2683 3.5489
Cl 6.5617 6.2305 3.5489
```

Symmetry: No. 122
E, eV per atom: -4.219
Density, g/cm3: 6.7
Uncorrected formation energy, eV/atom: 0.87
Relative energy among the computed polymorphs, eV per atom: 1.053


Below is a relaxed structure of NpAgPdPb, with properties calculated at the GGA-PBE level.

Geometry as extended XYZ:
```
4
Lattice="-1.2742 -0.5376 -4.7983 -3.9579 -2.7829 -1.2356 -4.1397 2.1815 -1.7436" Properties=species:S:1:pos:R:3 pbc="T T T"
Np 0.0000 0.0000 0.0000
Pb -4.6859 -0.5695 -3.8887
Pd -7.0288 -0.8543 -5.8331
Ag -2.3429 -0.2848 -1.9444
```

Symmetry: No. 216
E, eV per atom: -6.134
Density, g/cm3: 12.4
Formation energy, eV per formula unit: 0.16